[1]
{"formula": "ZnCuHg", "functional": "GGA-PBE", "state": "optimized geometry", "sg": "I4mm (107)", "magmom_total_mub_per_cell": 0.00, "formation_energy_ev_per_atom": 0.1077, "lattice": [[-3.912, -2.926, 1.248], [-0.618, -4.752, -1.569], [3.448, 3.063, 2.040]], "species": ["Cu", "Hg", "Zn"], "frac_coords": [[0.020, 0.020, 0.000], [0.335, 0.335, 0.000], [0.646, 0.646, 0.000]]}

[2]
{"formula": "ZnCuHg2", "functional": "GGA-PBE", "state": "optimized geometry", "sg": "C2/m (12)", "magmom_total_mub_per_cell": 0.00, "formation_energy_ev_per_atom": 0.2059, "lattice": [[-2.961, -3.598, -0.839], [0.158, -4.535, -1.351], [0.037, -2.460, 4.719]], "species": ["Zn", "Hg", "Hg", "Cu"], "frac_coords": [[0.750, 0.750, 0.750], [0.995, 0.995, 0.008], [0.505, 0.505, 0.492], [0.250, 0.250, 0.250]]}

[3]
{"formula": "ZnCuHg2", "functional": "GGA-PBE", "state": "optimized geometry", "sg": "I-42d (122)", "magmom_total_mub_per_cell": 0.00, "formation_energy_ev_per_atom": 0.2497, "lattice": [[-2.090, -1.816, -3.234], [3.631, -1.759, -1.359], [-0.867, -9.203, 2.924]], "species": ["Hg", "Hg", "Cu", "Zn", "Cu", "Zn", "Hg", "Hg"], "frac_coords": [[0.375, 0.382, 0.750], [0.618, 0.125, 0.250], [0.500, 0.500, 0.000], [0.750, 0.250, 0.500], [0.250, 0.750, 0.500], [0.000, 0.000, 0.000], [0.132, 0.625, 0.250], [0.875, 0.868, 0.750]]}

[4]
{"formula": "ZnCuHg2", "functional": "GGA-PBE", "state": "optimized geometry", "sg": "I-4m2 (119)", "magmom_total_mub_per_cell": 0.00, "formation_energy_ev_per_atom": 0.2223, "lattice": [[-4.621, -0.064, 2.330], [-3.807, -0.173, -3.502], [4.288, -2.825, 0.651]], "species": ["Hg", "Cu", "Hg", "Zn"], "frac_coords": [[0.000, 0.000, 0.000], [0.750, 0.250, 0.500], [0.250, 0.750, 0.500], [0.500, 0.500, 0.000]]}

[5]
{"formula": "ZnCuHg", "functional": "GGA-PBE", "state": "optimized geometry", "sg": "F-43m (216)", "magmom_total_mub_per_cell": 0.00, "formation_energy_ev_per_atom": 0.1567, "lattice": [[-1.514, 1.342, 3.808], [0.663, -2.370, 3.540], [2.728, 1.381, 3.040]], "species": ["Zn", "Hg", "Cu"], "frac_coords": [[0.500, 0.500, 0.500], [0.000, 0.000, 0.000], [0.750, 0.750, 0.750]]}

[6]
{"formula": "ZnCuHg2", "functional": "GGA-PBE", "state": "optimized geometry", "sg": "Cm (8)", "magmom_total_mub_per_cell": 0.00, "formation_energy_ev_per_atom": 0.1110, "lattice": [[6.401, -0.040, 0.001], [5.720, 2.873, 0.001], [1.621, 0.379, 4.161]], "species": ["Cu", "Hg", "Zn", "Hg"], "frac_coords": [[0.237, 0.237, 0.265], [0.958, 0.958, 0.043], [0.555, 0.555, 0.441], [0.751, 0.751, 0.752]]}

[7]
{"formula": "ZnCu2Hg2", "functional": "GGA-PBE", "state": "optimized geometry", "sg": "P4/mbm (127)", "magmom_total_mub_per_cell": 0.00, "formation_energy_ev_per_atom": 0.1521, "lattice": [[6.646, 0.000, 0.000], [0.000, 6.646, 0.000], [0.000, 0.000, 3.922]], "species": ["Cu", "Cu", "Hg", "Hg", "Cu", "Cu", "Zn", "Zn", "Hg", "Hg"], "frac_coords": [[0.863, 0.637, 0.000], [0.363, 0.863, 0.000], [0.333, 0.167, 0.500], [0.833, 0.333, 0.500], [0.137, 0.363, 0.000], [0.637, 0.137, 0.000], [0.500, 0.500, 0.000], [0.000, 0.000, 0.000], [0.167, 0.667, 0.500], [0.667, 0.833, 0.500]]}

[8]
{"formula": "ZnCuHg2", "functional": "GGA-PBE", "state": "optimized geometry", "sg": "I4/mmm (139)", "magmom_total_mub_per_cell": 0.00, "formation_energy_ev_per_atom": 0.2029, "lattice": [[-2.453, 4.218, -0.889], [0.181, 0.419, -4.938], [-1.491, -3.895, 2.684]], "species": ["Hg", "Cu", "Zn", "Hg"], "frac_coords": [[0.000, 0.000, 0.000], [0.750, 0.250, 0.500], [0.250, 0.750, 0.500], [0.500, 0.500, 0.000]]}

[9]
{"formula": "Zn3CuHg", "functional": "GGA-PBE", "state": "optimized geometry", "sg": "Pm-3m (221)", "magmom_total_mub_per_cell": 0.00, "formation_energy_ev_per_atom": 0.2287, "lattice": [[-1.986, -3.348, -2.654], [-1.959, -1.887, 3.846], [-3.796, 2.724, -0.597]], "species": ["Zn", "Cu", "Zn", "Zn", "Hg"], "frac_coords": [[0.500, 0.000, 0.000], [0.000, 0.000, 0.000], [0.000, 0.000, 0.500], [0.000, 0.500, 0.000], [0.500, 0.500, 0.500]]}

[10]
{"formula": "Zn2CuHg", "functional": "GGA-PBE", "state": "optimized geometry", "sg": "I-42d (122)", "magmom_total_mub_per_cell": 0.00, "formation_energy_ev_per_atom": 0.1871, "lattice": [[3.997, 0.000, 0.000], [0.000, 3.997, 0.000], [1.998, 1.998, 9.081]], "species": ["Cu", "Cu", "Zn", "Hg", "Hg", "Zn", "Zn", "Zn"], "frac_coords": [[0.250, 0.750, 0.500], [0.500, 0.500, 0.000], [0.164, 0.625, 0.250], [0.750, 0.250, 0.500], [0.000, 0.000, 0.000], [0.375, 0.414, 0.750], [0.586, 0.125, 0.250], [0.875, 0.836, 0.750]]}

[11]
{"formula": "Zn2CuHg", "functional": "GGA-PBE", "state": "optimized geometry", "sg": "P4/mmm (123)", "magmom_total_mub_per_cell": 0.00, "formation_energy_ev_per_atom": 0.0871, "lattice": [[2.853, 0.516, 0.000], [-0.515, 2.853, 0.000], [0.000, 0.000, 7.936]], "species": ["Zn", "Hg", "Zn", "Cu"], "frac_coords": [[0.000, 0.000, 0.450], [0.500, 0.500, 0.750], [0.000, 0.000, 0.050], [0.500, 0.500, 0.250]]}

[12]
{"formula": "Zn2CuHg", "functional": "GGA-PBE", "state": "optimized geometry", "sg": "P4/mmm (123)", "magmom_total_mub_per_cell": 0.00, "formation_energy_ev_per_atom": 0.1168, "lattice": [[4.010, 0.000, 0.000], [0.000, 4.006, 0.000], [0.000, 0.000, 4.006]], "species": ["Cu", "Hg", "Zn", "Zn"], "frac_coords": [[0.500, 0.500, 0.000], [0.500, 0.000, 0.500], [0.000, 0.000, 0.000], [0.000, 0.500, 0.500]]}